DFT (PBE) results for an optimized crystal structure of Er12GaFe6.

Calculated values
* energy of formation: -0.10 eV/atom
* DOS(E_F): 17.635 states/eV per cell
* VASP energy: -0.4270 Ry/atom

Geometry as CIF:
```
data_Er12GaFe6
_chemical_formula_sum 'Er12 Ga1 Fe6'
_cell_length_a 8.269
_cell_length_b 8.269
_cell_length_c 8.269
_cell_angle_alpha 109.47
_cell_angle_beta 109.47
_cell_angle_gamma 109.47
_symmetry_space_group_name_H-M 'P 1'
_symmetry_Int_Tables_number 1
loop_
_symmetry_equiv_pos_as_xyz
'x,y,z'
loop_
_atom_site_label
_atom_site_fract_x
_atom_site_fract_y
_atom_site_fract_z
Fe1 0.611 0.500 0.111
Er1 0.296 0.102 0.806
Er2 0.489 0.194 0.296
Er3 0.194 0.296 0.489
Er4 0.704 0.898 0.194
Fe2 0.500 0.111 0.611
Er5 0.102 0.806 0.296
Er6 0.806 0.704 0.511
Er7 0.898 0.194 0.704
Er8 0.296 0.489 0.194
Er9 0.704 0.511 0.806
Fe3 0.889 0.389 0.500
Er10 0.194 0.704 0.898
Ga1 0.000 0.000 0.000
Er11 0.511 0.806 0.704
Fe4 0.500 0.889 0.389
Fe5 0.389 0.500 0.889
Fe6 0.111 0.611 0.500
Er12 0.806 0.296 0.102
```